NbFeRh5 | PBE-GGA | optimized geometry

a = 3.9822 Å, b = 3.9822 Å, c = 6.6858 Å
α = 90.00°, β = 90.00°, γ = 90.00°
Positions (direct):
Nb 0.0000 0.0000 0.5000
Rh 0.5000 0.0000 0.7813
Rh 0.0000 0.5000 0.2187
Rh 0.0000 0.5000 0.7813
Rh 0.5000 0.0000 0.2187
Rh 0.5000 0.5000 0.5000
Fe 0.5000 0.5000 0.0000

Results
- energy of formation from the pure elements (eV/atom) = -0.12
- symmetry = No. 123

=====

Nb3FeRh | PBE-GGA | optimized geometry

a = 4.5310 Å, b = 4.5310 Å, c = 4.5310 Å
α = 90.00°, β = 90.00°, γ = 90.00°
Positions (direct):
Nb 0.0000 0.0000 0.5000
Nb 0.5000 0.0000 0.0000
Nb 0.0000 0.5000 0.0000
Fe 0.0000 0.0000 0.0000
Rh 0.5000 0.5000 0.5000

Results
- energy of formation from the pure elements (eV/atom) = 0.67
- symmetry = No. 221

=====

NbFeRh | PBE-GGA | optimized geometry

a = 3.1892 Å, b = 3.1892 Å, c = 4.9312 Å
α = 108.87°, β = 108.87°, γ = 90.00°
Positions (direct):
Nb 0.9450 0.9450 0.8899
Rh 0.6184 0.6184 0.2367
Fe 0.2867 0.2867 0.5733

Results
- energy of formation from the pure elements (eV/atom) = -0.14
- symmetry = No. 107

=====

Nb2FeRh5 | PBE-GGA | optimized geometry

a = 3.9005 Å, b = 5.4868 Å, c = 10.9499 Å
α = 90.00°, β = 90.00°, γ = 90.00°
Positions (direct):
Fe 0.0000 0.5000 0.0000
Fe 0.0000 0.0000 0.5000
Rh 0.5000 0.7368 0.8794
Rh 0.0000 0.9870 0.7480
Rh 0.5000 0.2368 0.6206
Rh 0.0000 0.5130 0.2480
Rh 0.5000 0.2632 0.1206
Rh 0.0000 0.0000 0.0000
Rh 0.0000 0.5000 0.5000
Rh 0.5000 0.7632 0.3794
Rh 0.0000 0.4870 0.7520
Rh 0.0000 0.0130 0.2520
Nb 0.5000 0.2433 0.8749
Nb 0.5000 0.7567 0.1251
Nb 0.5000 0.7433 0.6251
Nb 0.5000 0.2567 0.3749

Results
- energy of formation from the pure elements (eV/atom) = -0.43
- symmetry = No. 55

=====

NbFeRh3 | PBE-GGA | optimized geometry

a = 4.6863 Å, b = 4.6863 Å, c = 4.6863 Å
α = 90.00°, β = 90.00°, γ = 90.00°
Positions (direct):
Rh 0.0000 0.0000 0.5000
Rh 0.5000 0.0000 0.0000
Rh 0.0000 0.5000 0.0000
Nb 0.0000 0.0000 0.0000
Fe 0.5000 0.5000 0.5000

Results
- energy of formation from the pure elements (eV/atom) = 1.19
- symmetry = No. 221

=====

NbFeRh3 | PBE-GGA | optimized geometry

a = 4.4236 Å, b = 4.4236 Å, c = 4.4236 Å
α = 90.00°, β = 90.00°, γ = 90.00°
Positions (direct):
Nb 0.5000 0.5000 0.5000
Rh 0.5000 0.0000 0.0000
Rh 0.0000 0.5000 0.0000
Rh 0.0000 0.0000 0.5000
Fe 0.0000 0.0000 0.0000

Results
- energy of formation from the pure elements (eV/atom) = 0.87
- symmetry = No. 221

=====

What is the energy of formation from the pure elements in the second record? 0.67 eV/atom

=====

Look up the energy of formation from the pure elements of the first one. -0.12 eV/atom

=====

Among the records above, which one has the highest energy of formation from the pure elements? number 5

=====

energy of formation from the pure elements of number 4 (Nb2FeRh5)? -0.43 eV/atom